## a
The following is a DFT calculation (PBE) of a relaxed structure of Ac2Nd6Dy.

- DOS at the Fermi energy (states/eV/cell) = 26.9
- symmetry = No. 15
- size of the total moment (μB per cell) = 0.00

Lattice parameters (Å, degrees): 9.363 9.326 9.363 66.96 66.35 66.96
Sites, in units of the cell vectors:
Nd 0.161 0.835 0.003
Nd 0.148 0.514 0.329
Nd 0.852 0.486 0.671
Nd 0.003 0.335 0.161
Nd 0.410 0.419 0.919
Nd 0.081 0.081 0.590
Nd 0.329 0.014 0.148
Nd 0.997 0.665 0.839
Nd 0.919 0.919 0.410
Nd 0.839 0.165 0.997
Nd 0.590 0.581 0.081
Nd 0.671 0.986 0.852
Ac 0.513 0.821 0.673
Ac 0.327 0.679 0.487
Ac 0.487 0.179 0.327
Ac 0.673 0.321 0.513
Dy 0.244 0.250 0.756
Dy 0.756 0.750 0.244

=====

## b
The following is a DFT calculation (PBE) of a relaxed structure of Ac2Nd6Dy.

- DOS at the Fermi energy (states/eV/cell) = 15.0
- symmetry = No. 187
- size of the total moment (μB per cell) = 0.01

Lattice parameters (Å, degrees): 3.746 3.746 27.580 90.00 90.00 120.00
Sites, in units of the cell vectors:
Nd 0.333 0.667 0.562
Nd 0.333 0.667 0.789
Nd 0.667 0.333 0.104
Nd 0.333 0.667 0.438
Nd 0.667 0.333 0.896
Nd 0.333 0.667 0.211
Dy 0.333 0.667 0.000
Ac 0.667 0.333 0.673
Ac 0.667 0.333 0.327

=====

So which one is most stable? That would be b, about 6 meV per atom below the next structure.

=====

## a
The following is a DFT calculation (PBE) of a relaxed structure of Ac2Nd8Dy.

- DOS at the Fermi energy (states/eV/cell) = 15.4
- symmetry = No. 12
- size of the total moment (μB per cell) = 0.00

Lattice parameters (Å, degrees): 8.649 10.356 10.356 39.70 47.03 47.03
Sites, in units of the cell vectors:
Ac 0.375 0.170 0.170
Ac 0.625 0.830 0.830
Nd 0.251 0.383 0.383
Nd 0.783 0.667 0.207
Nd 0.217 0.333 0.793
Nd 0.781 0.269 0.269
Nd 0.217 0.793 0.333
Nd 0.749 0.617 0.617
Nd 0.783 0.207 0.667
Nd 0.219 0.731 0.731
Dy 0.000 0.000 0.000

=====

## b
The following is a DFT calculation (PBE) of a relaxed structure of Ac2Nd8Dy.

- DOS at the Fermi energy (states/eV/cell) = 16.6
- symmetry = No. 12
- size of the total moment (μB per cell) = 0.00

Lattice parameters (Å, degrees): 5.792 10.672 10.672 39.32 93.20 93.20
Sites, in units of the cell vectors:
Nd 0.267 0.615 0.141
Nd 0.267 0.141 0.615
Nd 0.733 0.385 0.859
Nd 0.235 0.544 0.544
Nd 0.224 0.176 0.176
Nd 0.776 0.824 0.824
Nd 0.765 0.456 0.456
Nd 0.733 0.859 0.385
Dy 0.000 0.000 0.000
Ac 0.258 0.719 0.719
Ac 0.742 0.281 0.281

=====

So which one is most stable? That would be a, about 27 meV per atom below the next structure.

=====

## a
The following is a DFT calculation (PBE) of a relaxed structure of AcNdDy2.

- DOS at the Fermi energy (states/eV/cell) = 4.5
- symmetry = No. 166
- size of the total moment (μB per cell) = 0.00

Lattice parameters (Å, degrees): 3.718 3.718 11.993 81.08 81.08 60.00
Sites, in units of the cell vectors:
Ac 0.500 0.500 0.500
Nd 0.000 0.000 0.000
Dy 0.252 0.252 0.244
Dy 0.748 0.748 0.756

=====

## b
The following is a DFT calculation (PBE) of a relaxed structure of AcNdDy2.

- DOS at the Fermi energy (states/eV/cell) = 5.6
- symmetry = No. 160
- size of the total moment (μB per cell) = 0.00

Lattice parameters (Å, degrees): 3.713 3.713 12.113 81.18 81.18 60.00
Sites, in units of the cell vectors:
Nd 0.666 0.666 0.001
Ac 0.500 0.500 0.499
Dy 0.080 0.080 0.759
Dy 0.253 0.253 0.241

=====

## c
The following is a DFT calculation (PBE) of a relaxed structure of AcNdDy2.

- DOS at the Fermi energy (states/eV/cell) = 7.6
- symmetry = No. 225
- size of the total moment (μB per cell) = 0.00

Lattice parameters (Å, degrees): 5.871 5.871 5.871 60.00 60.00 60.00
Sites, in units of the cell vectors:
Ac 0.500 0.500 0.500
Nd 0.000 0.000 0.000
Dy 0.250 0.250 0.250
Dy 0.750 0.750 0.750

=====

## d
The following is a DFT calculation (PBE) of a relaxed structure of AcNdDy2.

- DOS at the Fermi energy (states/eV/cell) = 6.9
- symmetry = No. 123
- size of the total moment (μB per cell) = 0.00

Lattice parameters (Å, degrees): 3.743 3.743 10.128 90.00 90.00 90.00
Sites, in units of the cell vectors:
Nd 0.500 0.500 0.000
Dy 0.000 0.000 0.240
Dy 0.000 0.000 0.760
Ac 0.500 0.500 0.500

=====

So which one is most stable? That would be a, about 6 meV per atom below the next structure.

=====

## a
The following is a DFT calculation (PBE) of a relaxed structure of AcNd7Dy2.

- DOS at the Fermi energy (states/eV/cell) = 17.2
- symmetry = No. 65
- size of the total moment (μB per cell) = 0.00

Lattice parameters (Å, degrees): 8.902 8.902 5.931 90.00 90.00 118.71
Sites, in units of the cell vectors:
Dy 0.282 0.718 0.500
Dy 0.718 0.282 0.500
Nd 0.079 0.303 0.500
Nd 0.303 0.079 0.500
Nd 0.339 0.661 0.000
Nd 0.661 0.339 0.000
Nd 0.921 0.697 0.500
Nd 0.500 0.500 0.500
Nd 0.697 0.921 0.500
Ac 0.000 0.000 0.000

=====

## b
The following is a DFT calculation (PBE) of a relaxed structure of AcNd7Dy2.

- DOS at the Fermi energy (states/eV/cell) = 13.9
- symmetry = No. 65
- size of the total moment (μB per cell) = 0.00

Lattice parameters (Å, degrees): 5.871 9.256 9.257 121.60 90.00 90.00
Sites, in units of the cell vectors:
Dy 0.500 0.297 0.703
Dy 0.500 0.703 0.297
Ac 0.000 0.000 0.000
Nd 0.500 0.939 0.700
Nd 0.500 0.700 0.939
Nd 0.500 0.500 0.500
Nd 0.000 0.763 0.237
Nd 0.500 0.300 0.061
Nd 0.500 0.061 0.300
Nd 0.000 0.237 0.763

=====

So which one is most stable? That would be a, about 16 meV per atom below the next structure.

=====

## a
The following is a DFT calculation (PBE) of a relaxed structure of AcNd6Dy2.

- DOS at the Fermi energy (states/eV/cell) = 14.1
- symmetry = No. 187
- size of the total moment (μB per cell) = 0.00

Lattice parameters (Å, degrees): 3.691 3.691 27.418 90.00 90.00 120.00
Sites, in units of the cell vectors:
Dy 0.667 0.333 0.332
Dy 0.667 0.333 0.668
Nd 0.667 0.333 0.883
Nd 0.333 0.667 0.225
Nd 0.333 0.667 0.566
Nd 0.667 0.333 0.117
Nd 0.333 0.667 0.434
Nd 0.333 0.667 0.775
Ac 0.333 0.667 0.000

=====

## b
The following is a DFT calculation (PBE) of a relaxed structure of AcNd6Dy2.

- DOS at the Fermi energy (states/eV/cell) = 24.5
- symmetry = No. 72
- size of the total moment (μB per cell) = 0.00

Lattice parameters (Å, degrees): 5.830 12.254 12.254 48.46 103.78 103.78
Sites, in units of the cell vectors:
Dy 0.002 0.667 0.833
Dy 0.498 0.167 0.333
Dy 0.998 0.333 0.167
Dy 0.502 0.833 0.667
Nd 0.838 0.171 0.005
Nd 0.337 0.671 0.504
Nd 0.163 0.496 0.329
Nd 0.162 0.829 0.995
Nd 0.080 0.080 0.580
Nd 0.420 0.420 0.920
Nd 0.920 0.920 0.420
Nd 0.663 0.329 0.496
Nd 0.580 0.580 0.080
Nd 0.338 0.005 0.171
Nd 0.662 0.995 0.829
Nd 0.837 0.504 0.671
Ac 0.750 0.750 0.250
Ac 0.250 0.250 0.750

=====

So which one is most stable? That would be b, about 10 meV per atom below the next structure.

=====

## a
The following is a DFT calculation (PBE) of a relaxed structure of AcNdDy4.

- DOS at the Fermi energy (states/eV/cell) = 15.7
- symmetry = No. 216
- size of the total moment (μB per cell) = 2.72

Lattice parameters (Å, degrees): 6.733 6.733 6.733 60.00 60.00 60.00
Site moments in Bohr magnetons follow the coordinates.
Sites, in units of the cell vectors:
Dy 0.626 0.626 0.122  0.22
Dy 0.626 0.626 0.626  0.22
Dy 0.626 0.122 0.626  0.22
Dy 0.122 0.626 0.626  0.22
Ac 0.250 0.250 0.250  0.21
Nd 0.000 0.000 0.000  0.32

=====

## b
The following is a DFT calculation (PBE) of a relaxed structure of AcNdDy4.

- DOS at the Fermi energy (states/eV/cell) = 19.9
- symmetry = No. 15
- size of the total moment (μB per cell) = 0.00

Lattice parameters (Å, degrees): 9.113 6.744 8.613 109.76 119.31 95.79
Sites, in units of the cell vectors:
Nd 0.309 0.059 0.118
Nd 0.691 0.941 0.882
Dy 0.917 0.659 0.651
Dy 0.020 0.267 0.869
Dy 0.349 0.602 0.869
Dy 0.234 0.992 0.651
Dy 0.980 0.733 0.131
Dy 0.651 0.398 0.131
Dy 0.083 0.341 0.349
Dy 0.766 0.008 0.349
Ac 0.428 0.678 0.356
Ac 0.572 0.322 0.644

=====

## c
The following is a DFT calculation (PBE) of a relaxed structure of AcNdDy4.

- DOS at the Fermi energy (states/eV/cell) = 18.7
- symmetry = No. 12
- size of the total moment (μB per cell) = 0.00

Lattice parameters (Å, degrees): 10.182 9.033 7.562 126.67 121.03 90.00
Sites, in units of the cell vectors:
Ac 0.696 0.512 0.024
Ac 0.304 0.488 0.976
Dy 0.869 0.161 0.323
Dy 0.441 0.012 0.676
Dy 0.000 0.309 0.000
Dy 0.000 0.691 0.000
Dy 0.559 0.988 0.324
Dy 0.131 0.839 0.677
Dy 0.441 0.664 0.676
Dy 0.559 0.336 0.324
Nd 0.748 0.834 0.667
Nd 0.252 0.166 0.333

=====

So which one is most stable? That would be b, about 175 meV per atom below the next structure.